The following is a DFT calculation (PBE) of a relaxed Mg2Cd crystal.

Summary:
Its electronic total energy is -1.390 eV/atom.

```
data_Mg2Cd
_cell_length_a 6.4382
_cell_length_b 6.4382
_cell_length_c 6.4382
_cell_angle_alpha 150.45
_cell_angle_beta 150.45
_cell_angle_gamma 42.28
_space_group_name_H-M_alt 'P 1'
_space_group_IT_number 1
loop_
_space_group_symop_operation_xyz
'x,y,z'
loop_
_atom_site_label
_atom_site_fract_x
_atom_site_fract_y
_atom_site_fract_z
Cd1 0.0000 0.0000 0.0000
Mg1 0.3367 0.3367 0.0000
Mg2 0.6633 0.6633 0.0000
```



The following is a DFT calculation (PBE) of a relaxed MgCd crystal.

Summary:
Its electronic total energy is -1.296 eV/atom.

```
data_MgCd
_cell_length_a 5.3616
_cell_length_b 8.2258
_cell_length_c 5.0677
_cell_angle_alpha 90.00
_cell_angle_beta 90.00
_cell_angle_gamma 70.96
_space_group_name_H-M_alt 'P 1'
_space_group_IT_number 1
loop_
_space_group_symop_operation_xyz
'x,y,z'
loop_
_atom_site_label
_atom_site_fract_x
_atom_site_fract_y
_atom_site_fract_z
Cd1 0.8109 0.3896 0.0000
Cd2 0.2002 0.6000 0.0000
Cd3 0.6009 0.8104 0.0000
Cd4 0.4687 0.3916 0.5000
Cd5 0.2606 0.8084 0.5000
Mg1 0.4006 0.2067 0.0000
Mg2 0.0073 0.9934 0.0000
Mg3 0.0588 0.2026 0.5000
Mg4 0.8638 0.6000 0.5000
Mg5 0.6614 0.9973 0.5000
```



The following is a DFT calculation (PBE) of a relaxed MgCdMo2P4 crystal.

Summary:
Its electronic total energy is -5.681 eV/atom.

```
data_MgCdMo2P4
_cell_length_a 6.8408
_cell_length_b 6.8408
_cell_length_c 6.8408
_cell_angle_alpha 130.12
_cell_angle_beta 130.12
_cell_angle_gamma 73.21
_space_group_name_H-M_alt 'P 1'
_space_group_IT_number 1
loop_
_space_group_symop_operation_xyz
'x,y,z'
loop_
_atom_site_label
_atom_site_fract_x
_atom_site_fract_y
_atom_site_fract_z
Cd1 0.0000 0.0000 0.0000
Mg1 0.7500 0.2500 0.5000
Mo1 0.5000 0.5000 0.0000
Mo2 0.2500 0.7500 0.5000
P1 0.1650 0.6216 0.0388
P2 0.8738 0.8350 0.4566
P3 0.3784 0.4172 0.5434
P4 0.5828 0.1262 0.9612
```



The following is a DFT calculation (PBE) of a relaxed NaMgCd crystal.

Summary:
As for the polymorph energy (0 for the lowest one): 0 meV per atom.

```
data_NaMgCd
_cell_length_a 4.9372
_cell_length_b 4.9372
_cell_length_c 4.9372
_cell_angle_alpha 60.00
_cell_angle_beta 60.00
_cell_angle_gamma 60.00
_space_group_name_H-M_alt 'P 1'
_space_group_IT_number 1
loop_
_space_group_symop_operation_xyz
'x,y,z'
loop_
_atom_site_label
_atom_site_fract_x
_atom_site_fract_y
_atom_site_fract_z
Cd1 0.0000 0.0000 0.0000
Mg1 0.2500 0.2500 0.2500
Na1 0.7500 0.7500 0.7500
```



The following is a DFT calculation (PBE) of a relaxed NaMgCd crystal.

Summary:
As for the polymorph energy (0 for the lowest one): 171 meV per atom.

```
data_NaMgCd
_cell_length_a 4.9462
_cell_length_b 4.9462
_cell_length_c 4.9462
_cell_angle_alpha 60.00
_cell_angle_beta 60.00
_cell_angle_gamma 60.00
_space_group_name_H-M_alt 'P 1'
_space_group_IT_number 1
loop_
_space_group_symop_operation_xyz
'x,y,z'
loop_
_atom_site_label
_atom_site_fract_x
_atom_site_fract_y
_atom_site_fract_z
Cd1 0.2500 0.2500 0.2500
Mg1 0.7500 0.7500 0.7500
Na1 0.0000 0.0000 0.0000
```



The following is a DFT calculation (PBE) of a relaxed NaMgCd2 crystal.

Summary:
Its electronic total energy is -1.218 eV/atom.

```
data_NaMgCd2
_cell_length_a 4.9563
_cell_length_b 4.9563
_cell_length_c 4.9563
_cell_angle_alpha 60.00
_cell_angle_beta 60.00
_cell_angle_gamma 60.00
_space_group_name_H-M_alt 'P 1'
_space_group_IT_number 1
loop_
_space_group_symop_operation_xyz
'x,y,z'
loop_
_atom_site_label
_atom_site_fract_x
_atom_site_fract_y
_atom_site_fract_z
Cd1 0.2500 0.2500 0.2500
Cd2 0.5000 0.5000 0.5000
Mg1 0.0000 0.0000 0.0000
Na1 0.7500 0.7500 0.7500
```



The following is a DFT calculation (PBE) of a relaxed Na2MgCdSn2Pd2 crystal.

Summary:
Its electronic total energy is -3.238 eV/atom.

```
data_Na2MgCdSn2Pd2
_cell_length_a 4.8044
_cell_length_b 4.8044
_cell_length_c 6.7962
_cell_angle_alpha 90.00
_cell_angle_beta 90.00
_cell_angle_gamma 90.00
_space_group_name_H-M_alt 'P 1'
_space_group_IT_number 1
loop_
_space_group_symop_operation_xyz
'x,y,z'
loop_
_atom_site_label
_atom_site_fract_x
_atom_site_fract_y
_atom_site_fract_z
Cd1 0.5000 0.5000 0.0000
Mg1 0.0000 0.0000 0.5000
Na1 0.0000 0.5000 0.2477
Na2 0.5000 0.0000 0.7523
Pd1 0.5000 0.0000 0.2613
Pd2 0.0000 0.5000 0.7387
Sn1 0.0000 0.0000 0.0000
Sn2 0.5000 0.5000 0.5000
```



The following is a DFT calculation (PBE) of a relaxed Na4MgCdSi2 crystal.

Summary:
Its electronic total energy is -2.360 eV/atom.

```
data_Na4MgCdSi2
_cell_length_a 4.7390
_cell_length_b 4.7390
_cell_length_c 9.6432
_cell_angle_alpha 90.00
_cell_angle_beta 90.00
_cell_angle_gamma 120.00
_space_group_name_H-M_alt 'P 1'
_space_group_IT_number 1
loop_
_space_group_symop_operation_xyz
'x,y,z'
loop_
_atom_site_label
_atom_site_fract_x
_atom_site_fract_y
_atom_site_fract_z
Cd1 0.0000 0.0000 0.0000
Mg1 0.0000 0.0000 0.5000
Na1 0.6667 0.3333 0.1717
Na2 0.3333 0.6667 0.3289
Na3 0.3333 0.6667 0.6711
Na4 0.6667 0.3333 0.8283
Si1 0.3333 0.6667 0.0000
Si2 0.6667 0.3333 0.5000
```



The following is a DFT calculation (PBE) of a relaxed Na4MgCdSn2 crystal.

Summary:
As for the polymorph energy (0 for the lowest one): 24 meV per atom.

```
data_Na4MgCdSn2
_cell_length_a 5.1619
_cell_length_b 5.1619
_cell_length_c 7.2695
_cell_angle_alpha 90.00
_cell_angle_beta 90.00
_cell_angle_gamma 90.00
_space_group_name_H-M_alt 'P 1'
_space_group_IT_number 1
loop_
_space_group_symop_operation_xyz
'x,y,z'
loop_
_atom_site_label
_atom_site_fract_x
_atom_site_fract_y
_atom_site_fract_z
Cd1 0.0000 0.0000 0.0000
Mg1 0.5000 0.5000 0.5000
Na1 0.5000 0.5000 0.0000
Na2 0.5000 0.0000 0.2444
Na3 0.0000 0.0000 0.5000
Na4 0.0000 0.5000 0.7556
Sn1 0.0000 0.5000 0.2568
Sn2 0.5000 0.0000 0.7432
```



The following is a DFT calculation (PBE) of a relaxed Na4MgCdSn2 crystal.

Summary:
As for the polymorph energy (0 for the lowest one): 0 meV per atom.

```
data_Na4MgCdSn2
_cell_length_a 5.0218
_cell_length_b 5.0218
_cell_length_c 10.0269
_cell_angle_alpha 90.00
_cell_angle_beta 90.00
_cell_angle_gamma 120.00
_space_group_name_H-M_alt 'P 1'
_space_group_IT_number 1
loop_
_space_group_symop_operation_xyz
'x,y,z'
loop_
_atom_site_label
_atom_site_fract_x
_atom_site_fract_y
_atom_site_fract_z
Cd1 0.0000 0.0000 0.5000
Mg1 0.0000 0.0000 0.0000
Na1 0.6667 0.3333 0.1684
Na2 0.3333 0.6667 0.3298
Na3 0.3333 0.6667 0.6702
Na4 0.6667 0.3333 0.8316
Sn1 0.3333 0.6667 0.0000
Sn2 0.6667 0.3333 0.5000
```



The following is a DFT calculation (PBE) of a relaxed Mg2NbCd crystal.

Summary:
Its electronic total energy is -3.206 eV/atom.

```
data_Mg2NbCd
_cell_length_a 4.8397
_cell_length_b 4.8397
_cell_length_c 4.8397
_cell_angle_alpha 60.00
_cell_angle_beta 60.00
_cell_angle_gamma 60.00
_space_group_name_H-M_alt 'P 1'
_space_group_IT_number 1
loop_
_space_group_symop_operation_xyz
'x,y,z'
loop_
_atom_site_label
_atom_site_fract_x
_atom_site_fract_y
_atom_site_fract_z
Cd1 0.7500 0.7500 0.7500
Mg1 0.2500 0.2500 0.2500
Mg2 0.5000 0.5000 0.5000
Nb1 0.0000 0.0000 0.0000
```



The following is a DFT calculation (PBE) of a relaxed MgNb2CdP4 crystal.

Summary:
Its electronic total energy is -5.672 eV/atom.

```
data_MgNb2CdP4
_cell_length_a 6.9849
_cell_length_b 6.9849
_cell_length_c 6.9849
_cell_angle_alpha 130.57
_cell_angle_beta 130.57
_cell_angle_gamma 72.49
_space_group_name_H-M_alt 'P 1'
_space_group_IT_number 1
loop_
_space_group_symop_operation_xyz
'x,y,z'
loop_
_atom_site_label
_atom_site_fract_x
_atom_site_fract_y
_atom_site_fract_z
Cd1 0.0000 0.0000 0.0000
Mg1 0.7500 0.2500 0.5000
Nb1 0.5000 0.5000 0.0000
Nb2 0.2500 0.7500 0.5000
P1 0.1489 0.6206 0.0223
P2 0.8734 0.8511 0.4717
P3 0.3794 0.4017 0.5283
P4 0.5983 0.1266 0.9777
```



The following is a DFT calculation (PBE) of a relaxed NdMgCd crystal.

Summary:
Its electronic total energy is -2.317 eV/atom.

```
data_NdMgCd
_cell_length_a 4.9644
_cell_length_b 4.9644
_cell_length_c 4.9644
_cell_angle_alpha 60.00
_cell_angle_beta 60.00
_cell_angle_gamma 60.00
_space_group_name_H-M_alt 'P 1'
_space_group_IT_number 1
loop_
_space_group_symop_operation_xyz
'x,y,z'
loop_
_atom_site_label
_atom_site_fract_x
_atom_site_fract_y
_atom_site_fract_z
Cd1 0.2500 0.2500 0.2500
Mg1 0.0000 0.0000 0.0000
Nd1 0.7500 0.7500 0.7500
```



The following is a DFT calculation (PBE) of a relaxed Nd2MgCd crystal.

Summary:
Its electronic total energy is -3.214 eV/atom.

```
data_Nd2MgCd
_cell_length_a 5.4385
_cell_length_b 5.4385
_cell_length_c 3.8825
_cell_angle_alpha 90.00
_cell_angle_beta 90.00
_cell_angle_gamma 90.00
_space_group_name_H-M_alt 'P 1'
_space_group_IT_number 1
loop_
_space_group_symop_operation_xyz
'x,y,z'
loop_
_atom_site_label
_atom_site_fract_x
_atom_site_fract_y
_atom_site_fract_z
Cd1 0.0000 0.0000 0.5000
Mg1 0.5000 0.5000 0.5000
Nd1 0.5000 0.0000 0.0000
Nd2 0.0000 0.5000 0.0000
```



The following is a DFT calculation (PBE) of a relaxed Nd2Mg3CdNi2 crystal.

Summary:
Its electronic total energy is -3.547 eV/atom.

```
data_Nd2Mg3CdNi2
_cell_length_a 5.4550
_cell_length_b 5.4550
_cell_length_c 8.2434
_cell_angle_alpha 90.04
_cell_angle_beta 90.04
_cell_angle_gamma 45.22
_space_group_name_H-M_alt 'P 1'
_space_group_IT_number 1
loop_
_space_group_symop_operation_xyz
'x,y,z'
loop_
_atom_site_label
_atom_site_fract_x
_atom_site_fract_y
_atom_site_fract_z
Cd1 0.1476 0.1476 0.4484
Mg1 0.1547 0.1547 0.0551
Mg2 0.8440 0.8440 0.5528
Mg3 0.8475 0.8475 0.9454
Nd1 0.4406 0.4406 0.2526
Nd2 0.5603 0.5603 0.7497
Ni1 0.7281 0.7281 0.2445
Ni2 0.2771 0.2771 0.7515
```



The following is a DFT calculation (PBE) of a relaxed Nd3Mg3Cd2Pd crystal.

Summary:
Its electronic total energy is -3.244 eV/atom.

```
data_Nd3Mg3Cd2Pd
_cell_length_a 7.5180
_cell_length_b 7.5180
_cell_length_c 4.7333
_cell_angle_alpha 90.00
_cell_angle_beta 90.00
_cell_angle_gamma 120.00
_space_group_name_H-M_alt 'P 1'
_space_group_IT_number 1
loop_
_space_group_symop_operation_xyz
'x,y,z'
loop_
_atom_site_label
_atom_site_fract_x
_atom_site_fract_y
_atom_site_fract_z
Cd1 0.6667 0.3333 0.5000
Cd2 0.3333 0.6667 0.5000
Mg1 0.7707 0.0000 0.5000
Mg2 0.2293 0.2293 0.5000
Mg3 0.0000 0.7707 0.5000
Nd1 0.4070 0.0000 0.0000
Nd2 0.0000 0.4070 0.0000
Nd3 0.5930 0.5930 0.0000
Pd1 0.0000 0.0000 0.0000
```



The following is a DFT calculation (PBE) of a relaxed Nd3Mg3CdPd2 crystal.

Summary:
Its electronic total energy is -3.856 eV/atom.

```
data_Nd3Mg3CdPd2
_cell_length_a 7.7116
_cell_length_b 7.7116
_cell_length_c 4.2414
_cell_angle_alpha 90.00
_cell_angle_beta 90.00
_cell_angle_gamma 120.00
_space_group_name_H-M_alt 'P 1'
_space_group_IT_number 1
loop_
_space_group_symop_operation_xyz
'x,y,z'
loop_
_atom_site_label
_atom_site_fract_x
_atom_site_fract_y
_atom_site_fract_z
Cd1 0.0000 0.0000 0.0000
Mg1 0.7470 0.0000 0.5000
Mg2 0.2530 0.2530 0.5000
Mg3 0.0000 0.7470 0.5000
Nd1 0.4224 0.0000 0.0000
Nd2 0.0000 0.4224 0.0000
Nd3 0.5776 0.5776 0.0000
Pd1 0.6667 0.3333 0.5000
Pd2 0.3333 0.6667 0.5000
```



The following is a DFT calculation (PBE) of a relaxed Nd3Mg3Cd2Pt crystal.

Summary:
Its electronic total energy is -3.419 eV/atom.

```
data_Nd3Mg3Cd2Pt
_cell_length_a 7.5011
_cell_length_b 7.5011
_cell_length_c 4.7095
_cell_angle_alpha 90.00
_cell_angle_beta 90.00
_cell_angle_gamma 120.00
_space_group_name_H-M_alt 'P 1'
_space_group_IT_number 1
loop_
_space_group_symop_operation_xyz
'x,y,z'
loop_
_atom_site_label
_atom_site_fract_x
_atom_site_fract_y
_atom_site_fract_z
Cd1 0.6667 0.3333 0.5000
Cd2 0.3333 0.6667 0.5000
Mg1 0.7718 0.0000 0.5000
Mg2 0.2282 0.2282 0.5000
Mg3 0.0000 0.7718 0.5000
Nd1 0.4008 0.0000 0.0000
Nd2 0.0000 0.4008 0.0000
Nd3 0.5992 0.5992 0.0000
Pt1 0.0000 0.0000 0.0000
```



The following is a DFT calculation (PBE) of a relaxed Nd3Mg3TlCd2 crystal.

Summary:
Its electronic total energy is -2.843 eV/atom.

```
data_Nd3Mg3TlCd2
_cell_length_a 7.6120
_cell_length_b 7.6120
_cell_length_c 4.8239
_cell_angle_alpha 90.00
_cell_angle_beta 90.00
_cell_angle_gamma 120.00
_space_group_name_H-M_alt 'P 1'
_space_group_IT_number 1
loop_
_space_group_symop_operation_xyz
'x,y,z'
loop_
_atom_site_label
_atom_site_fract_x
_atom_site_fract_y
_atom_site_fract_z
Cd1 0.6667 0.3333 0.5000
Cd2 0.3333 0.6667 0.5000
Mg1 0.7576 0.0000 0.5000
Mg2 0.2424 0.2424 0.5000
Mg3 0.0000 0.7576 0.5000
Nd1 0.4262 0.0000 0.0000
Nd2 0.0000 0.4262 0.0000
Nd3 0.5738 0.5738 0.0000
Tl1 0.0000 0.0000 0.0000
```



The following is a DFT calculation (PBE) of a relaxed Nd3Mg3Tl2Cd crystal.

Summary:
Its electronic total energy is -3.080 eV/atom.

```
data_Nd3Mg3Tl2Cd
_cell_length_a 7.6957
_cell_length_b 7.6957
_cell_length_c 4.7620
_cell_angle_alpha 90.00
_cell_angle_beta 90.00
_cell_angle_gamma 120.00
_space_group_name_H-M_alt 'P 1'
_space_group_IT_number 1
loop_
_space_group_symop_operation_xyz
'x,y,z'
loop_
_atom_site_label
_atom_site_fract_x
_atom_site_fract_y
_atom_site_fract_z
Cd1 0.0000 0.0000 0.0000
Mg1 0.7625 0.0000 0.5000
Mg2 0.2375 0.2375 0.5000
Mg3 0.0000 0.7625 0.5000
Nd1 0.4228 0.0000 0.0000
Nd2 0.0000 0.4228 0.0000
Nd3 0.5772 0.5772 0.0000
Tl1 0.6667 0.3333 0.5000
Tl2 0.3333 0.6667 0.5000
```